(1)
Material: NdErBiO2
Method: DFT, GGA-PBE
State: optimized geometry

Computed properties:
Space group: I4mm (107)
Energy in eV per atom: -7.295

Unit cell a=7.349 b=7.349 c=7.349 alpha=149.12 beta=149.12 gamma=44.23
Atoms (fractional coordinates):
Bi  0.995  0.995  0.000
O  0.755  0.255  0.500
Er  0.331  0.331  0.000
O  0.255  0.755  0.500
Nd  0.663  0.663  0.000


(2)
Material: GaAsIr
Method: DFT, GGA-PBE
State: optimized geometry

Computed properties:
Space group: F-43m (216)
Energy in eV per atom: -5.204
Energy above the most stable polymorph in this dataset in eV per atom: 0.574

Unit cell a=4.263 b=4.263 c=4.263 alpha=60.00 beta=60.00 gamma=60.00
Atoms (fractional coordinates):
Ga  0.250  0.250  0.250
Ir  0.750  0.750  0.750
As  0.000  0.000  0.000


(3)
Material: RbCuTeWSe2
Method: DFT, GGA-PBE
State: optimized geometry

Computed properties:
Space group: Cmcm (63)
Energy in eV per atom: -4.928

Unit cell a=8.288 b=8.288 c=10.247 alpha=90.00 beta=90.00 gamma=152.63
Last column: magnetic moment on the atom in μB.
Atoms (fractional coordinates):
Rb  0.772  0.228  0.750  0.00
Rb  0.228  0.772  0.250  0.00
Te  0.923  0.077  0.250  -0.04
W  0.000  0.000  0.000  1.58
Cu  0.471  0.529  0.750  0.02
Te  0.077  0.923  0.750  -0.04
Se  0.396  0.604  0.549  -0.01
Cu  0.529  0.471  0.250  0.02
Se  0.604  0.396  0.451  -0.01
W  0.000  0.000  0.500  1.58
Se  0.396  0.604  0.951  -0.01
Se  0.604  0.396  0.049  -0.01


(4)
Material: HfPdAu
Method: DFT, GGA-PBE
State: optimized geometry

Computed properties:
Space group: I4mm (107)
Energy in eV per atom: -6.917
Energy above the most stable polymorph in this dataset in eV per atom: 0.000

Unit cell a=5.016 b=5.016 c=5.016 alpha=139.03 beta=139.03 gamma=59.32
Atoms (fractional coordinates):
Au  0.664  0.664  0.000
Pd  0.339  0.339  0.000
Hf  0.997  0.997  0.000